First-principles (PBE) data for a relaxed structure of Ga2Pt3Au, as listed in Alexandria.

* DFT total energy: -118.73 eV for the cell shown
* density of states at the Fermi level: 5.85 states/eV/cell
* formation enthalpy at 0 K: -0.372 eV/atom
* total magnetic moment: 0.00 μB per atom
* volume: 18.145 Å³/atom

Unit cell a=7.144 b=10.782 c=5.654 alpha=90.00 beta=90.00 gamma=90.00
Space group Ibam (No. 72)
Symmetry-distinct sites (fractional):
Ga (0.212, 0.142, 0.000) [8 per cell]
Pt (0.000, 0.000, 0.250) [4 per cell]
Pt (0.000, 0.273, 0.250) [8 per cell]
Au (0.000, 0.500, 0.000) [4 per cell]

First-principles (PBE) data for a relaxed structure of CoNi2Sb, as listed in Alexandria.

* formation energy without anion corrections: -0.002 eV/atom
* DFT total energy: -45.60 eV for the cell shown
* density of states at the Fermi level: 12.38 states/eV/cell
* total magnetic moment: 0.40 μB per atom
* volume: 13.038 Å³/atom

Unit cell a=3.753 b=3.753 c=7.405 alpha=90.00 beta=90.00 gamma=90.00
Space group I4/mmm (No. 139)
Symmetry-distinct sites (fractional):
Co (0.000, 0.000, 0.000) [2 per cell]
Ni (0.000, 0.500, 0.250) [4 per cell]
Sb (0.000, 0.000, 0.500) [2 per cell]

First-principles (PBE) data for a relaxed structure of Li6GaPd, as listed in Alexandria.

* DFT total energy: -21.55 eV for the cell shown
* density of states at the Fermi level: 2.97 states/eV/cell
* formation enthalpy at 0 K: -0.230 eV/atom
* total magnetic moment: 0.00 μB per atom
* volume: 15.691 Å³/atom

Unit cell a=5.6268 b=5.6268 c=4.5752 alpha=90.00 beta=90.00 gamma=120.00
Space group P-6m2 (No. 187)
Symmetry-distinct sites (fractional):
Li (0.0125, 0.5062, 0.0000) [3 per cell]
Li (0.3134, 0.1567, 0.5000) [3 per cell]
Ga (0.3333, 0.6667, 0.5000) [1 per cell]
Pd (0.0000, 0.0000, 0.0000) [1 per cell]

First-principles (PBE) data for a relaxed structure of NbGa3Rh4, as listed in Alexandria.

* DFT total energy: -106.95 eV for the cell shown
* density of states at the Fermi level: 7.25 states/eV/cell
* formation enthalpy at 0 K: -0.615 eV/atom
* total magnetic moment: 0.00 μB per atom
* volume: 14.682 Å³/atom

Unit cell a=8.910 b=5.851 c=4.506 alpha=90.00 beta=90.00 gamma=90.00
Space group Pmma (No. 51)
Symmetry-distinct sites (fractional):
Nb (0.000, 0.000, 0.000) [2 per cell]
Ga (0.000, 0.500, 0.000) [2 per cell]
Ga (0.250, 0.000, 0.447) [2 per cell]
Ga (0.250, 0.500, 0.444) [2 per cell]
Rh (0.000, 0.254, 0.500) [4 per cell]
Rh (0.250, 0.257, 0.935) [4 per cell]

First-principles (PBE) data for a relaxed structure of Pr3Nd2PaAs6, as listed in Alexandria.

* DFT total energy: -157.34 eV for the cell shown
* density of states at the Fermi level: 9.51 states/eV/cell
* formation enthalpy at 0 K: -1.450 eV/atom
* total magnetic moment: 0.00 μB per atom
* volume: 27.210 Å³/atom

Unit cell a=7.367 b=12.756 c=7.369 alpha=90.00 beta=109.44 gamma=90.00
Space group C2/m (No. 12)
Symmetry-distinct sites (fractional):
Pr (0.000, 0.000, 0.000) [2 per cell]
Pr (0.000, 0.330, 0.000) [4 per cell]
Nd (0.000, 0.166, 0.500) [4 per cell]
Pa (0.000, 0.500, 0.500) [2 per cell]
As (0.240, 0.500, 0.258) [4 per cell]
As (0.241, 0.339, 0.741) [8 per cell]

First-principles (PBE) data for a relaxed structure of Tb2NdEr3Se6, as listed in Alexandria.

* formation energy without anion corrections: -1.747 eV/atom
* DFT total energy: -139.18 eV for the cell shown
* density of states at the Fermi level: 10.89 states/eV/cell
* total magnetic moment: 0.00 μB per atom
* volume: 24.161 Å³/atom

Unit cell a=7.029 b=12.243 c=7.137 alpha=90.00 beta=109.25 gamma=90.00
Space group C2/m (No. 12)
Symmetry-distinct sites (fractional):
Tb (0.000, 0.165, 0.000) [4 per cell]
Nd (0.000, 0.500, 0.000) [2 per cell]
Er (0.000, 0.000, 0.500) [2 per cell]
Er (0.000, 0.339, 0.500) [4 per cell]
Se (0.243, 0.171, 0.739) [8 per cell]
Se (0.245, 0.000, 0.257) [4 per cell]

First-principles (PBE) data for a relaxed structure of Ho3Th2PaAs6, as listed in Alexandria.

* DFT total energy: -165.45 eV for the cell shown
* density of states at the Fermi level: 14.62 states/eV/cell
* formation enthalpy at 0 K: -1.397 eV/atom
* total magnetic moment: 0.00 μB per atom
* volume: 25.250 Å³/atom

Unit cell a=18.060 b=4.161 c=8.273 alpha=90.00 beta=102.87 gamma=90.00
Space group C2/m (No. 12)
Symmetry-distinct sites (fractional):
Ho (0.000, 0.000, 0.000) [2 per cell]
Ho (0.168, 0.500, 0.334) [4 per cell]
Th (0.167, 0.500, 0.835) [4 per cell]
Pa (0.000, 0.000, 0.500) [2 per cell]
As (0.003, 0.500, 0.254) [4 per cell]
As (0.164, 0.000, 0.090) [4 per cell]
As (0.165, 0.000, 0.576) [4 per cell]

First-principles (PBE) data for a relaxed structure of Pm2PtO, as listed in Alexandria.

* excess energy over the best structure of this formula in the dataset: 0 meV/atom
* formation energy without anion corrections: -1.837 eV/atom
* DFT total energy: -111.40 eV for the cell shown
* density of states at the Fermi level: 9.81 states/eV/cell
* total magnetic moment: 0.00 μB per atom
* volume: 22.602 Å³/atom

Unit cell a=5.934 b=5.895 c=11.507 alpha=90.00 beta=116.04 gamma=90.00
Space group P2/c (No. 13)
Symmetry-distinct sites (fractional):
Pm (0.061, 0.238, 0.098) [4 per cell]
Pm (0.324, 0.212, 0.855) [4 per cell]
Pt (0.409, 0.292, 0.365) [4 per cell]
O (0.042, 0.153, 0.623) [4 per cell]

Please write out number 2 again, unchanged.
First-principles (PBE) data for a relaxed structure of CoNi2Sb, as listed in Alexandria.

* formation energy without anion corrections: -0.002 eV/atom
* DFT total energy: -45.60 eV for the cell shown
* density of states at the Fermi level: 12.38 states/eV/cell
* total magnetic moment: 0.40 μB per atom
* volume: 13.038 Å³/atom

Unit cell a=3.753 b=3.753 c=7.405 alpha=90.00 beta=90.00 gamma=90.00
Space group I4/mmm (No. 139)
Symmetry-distinct sites (fractional):
Co (0.000, 0.000, 0.000) [2 per cell]
Ni (0.000, 0.500, 0.250) [4 per cell]
Sb (0.000, 0.000, 0.500) [2 per cell]

Question: Which of these has the highest volume?
Answer: Pr3Nd2PaAs6

Question: What is the formula in the eighth record?
Answer: Pm2PtO

Question: Look up the total magnetic moment of the fourth one.
Answer: 0.00 μB per atom